1.
Below is Mg2ZnAgS after structural relaxation, with properties calculated at the PBE level.

Lattice parameters (Å, degrees): 4.784 4.784 4.953 90.00 90.00 90.00
Space group P4/mmm (No. 123)
Unique sites:
Mg 0.000 0.500 0.000 x2
Zn 0.000 0.000 0.500 x1
Ag 0.500 0.500 0.500 x1
S 0.500 0.500 0.000 x1

Calculated values
- Raw formation energy: 2.1 kJ/mol of atoms

---

2.
Below is ZrCoHg2 after structural relaxation, with properties calculated at the PBE level.

Lattice parameters (Å, degrees): 3.245 3.245 7.373 90.00 90.00 90.00
Space group P4mm (No. 99)
Unique sites:
Zr 0.000 0.000 0.000 x1
Co 0.500 0.500 0.173 x1
Hg 0.000 0.000 0.409 x1
Hg 0.500 0.500 0.708 x1

Calculated values
- Energy relative to the elements: -0.01 eV per atom

---

3.
Below is Ti2Au2Cl after structural relaxation, with properties calculated at the PBE level.

Lattice parameters (Å, degrees): 6.480 6.480 4.313 90.00 90.00 90.00
Space group P4/mbm (No. 127)
Unique sites:
Ti 0.154 0.346 0.000 x4
Au 0.150 0.650 0.500 x4
Cl 0.000 0.000 0.000 x2

Calculated values
- Raw formation energy: -34.9 kJ/mol of atoms

---

4.
Below is Li6Sn2Rh after structural relaxation, with properties calculated at the PBE level.

Lattice parameters (Å, degrees): 12.638 5.088 4.823 90.00 103.23 90.00
Space group C2/m (No. 12)
Unique sites:
Li 0.096 0.239 0.157 x8
Li 0.213 0.000 0.712 x4
Sn 0.117 0.500 0.675 x4
Rh 0.000 0.000 0.500 x2

Calculated values
- Energy relative to the elements: -0.28 eV per atom

---

5.
Below is SrSi after structural relaxation, with properties calculated at the PBE level.

Lattice parameters (Å, degrees): 3.8890 3.8890 9.4497 90.00 90.00 120.00
Space group P6_3/mmc (No. 194)
Unique sites:
Sr 0.0000 0.0000 0.0000 x2
Si 0.3333 0.6667 0.2500 x2

Calculated values
- Raw formation energy: 11.1 kJ/mol of atoms

---

6.
Below is SrCa2Ag9 after structural relaxation, with properties calculated at the PBE level.

Lattice parameters (Å, degrees): 5.7711 5.7711 28.0136 90.00 90.00 120.00
Space group R-3m (No. 166, hexagonal axes)
Unique sites:
Sr 0.0000 0.0000 0.0000 x3
Ca 0.0000 0.0000 0.1429 x6
Ag 0.0000 0.0000 0.3331 x6
Ag 0.0000 0.0000 0.5000 x3
Ag 0.0028 0.5014 0.9154 x18

Calculated values
- Energy relative to the elements: -0.22 eV per atom

---

Which formula does entry 2 have? ZrCoHg2